Density functional theory data (GGA-PBE) for an optimized crystal structure of KBPt3.

a = 6.293 Å, b = 5.403 Å, c = 6.992 Å
α = 69.37°, β = 93.03°, γ = 66.12°
Fractional coordinates of all 10 atoms:
1 Pt 0.338 0.227 0.939
2 Pt 0.138 0.709 0.087
3 B 0.421 0.123 0.670
4 Pt 0.754 0.079 0.778
5 Pt 0.222 0.894 0.723
6 K 0.733 0.420 0.106
7 Pt 0.308 0.161 0.356
8 B 0.271 0.934 0.182
9 Pt 0.363 0.576 0.492
10 K 0.848 0.653 0.521

## Properties
The formation energy is -230 meV/atom. Its raw total energy is -5.410 eV/atom. Its magnetic moment is 0.00 Bohr magnetons per cell.